Density functional theory data (PBE with a Hubbard U) for a relaxed RbVOs2O8 crystal.

Unit cell a=5.786 b=5.786 c=7.768 alpha=90.00 beta=90.00 gamma=120.00
Positions (direct):
Rb  0.000  0.000  0.000
V  0.000  0.000  0.500
Os  0.667  0.333  0.268
Os  0.333  0.667  0.732
O  0.333  0.667  0.960
O  0.328  0.165  0.344
O  0.835  0.163  0.344
O  0.667  0.333  0.040
O  0.165  0.837  0.656
O  0.672  0.835  0.656
O  0.163  0.328  0.656
O  0.837  0.672  0.344

Results
DFT total energy = -7.10 eV per atom
D(E_F) = 6.0 states/eV/f.u.
V = 225.2 Å³/cell
spin magnetization = 0.0 μB per cell